Record 1
Crystalline K2ZrP at its relaxed geometry. Source: Alexandria, functional GGA-PBE.

Results
Volume: 36.22 Å³/atom
Total energy: -17.19 eV/f.u.
ΔE_f: -0.26 eV/atom

Cell: 10.7613 10.7613 3.7962 Å, 80.17 80.17 19.55°
Last column: nearest neighbours and their distance in Å.
Positions (direct):
Zr  0.2500  0.2500  0.2500  4 P 2.63
K  0.4039  0.4039  0.6022  4 K 3.65-3.80, 2 P 3.70, 2 Zr 3.73-3.74
K  0.0960  0.0960  0.8978  4 K 3.65-3.80, 2 P 3.70, 2 Zr 3.73-3.74
P  0.7500  0.7500  0.7500  4 Zr 2.63

***

Record 2
Crystalline K2ZrP at its relaxed geometry. Source: Alexandria, functional GGA-PBE.

Results
Volume: 27.93 Å³/atom
Total energy: -13.67 eV/f.u.
ΔE_f: 0.62 eV/atom

Cell: 12.4253 12.4253 12.4253 Å, 14.99 14.99 14.99°
Last column: nearest neighbours and their distance in Å.
Positions (direct):
K  0.9855  0.9855  0.9855  3 P 3.15, 6 K 3.24
K  0.5145  0.5145  0.5145  3 P 3.15, 6 K 3.24
Zr  0.7500  0.7500  0.7500  6 Zr 3.24
P  0.2500  0.2500  0.2500  6 K 3.15, 6 P 3.24

***

Record 3
Crystalline K2ZrP at its relaxed geometry. Source: Alexandria, functional GGA-PBE.

Results
Volume: 36.60 Å³/atom
Total energy: -17.11 eV/f.u.
ΔE_f: -0.24 eV/atom

Cell: 3.7056 3.7056 10.6615 Å, 90.00 90.00 90.00°
Last column: nearest neighbours and their distance in Å.
Positions (direct):
P  0.0000  0.0000  0.6205  4 Zr 2.63
K  0.0000  0.0000  0.9303  1 P 3.30
K  0.5000  0.5000  0.3092  1 Zr 3.53, 4 K 3.71
Zr  0.5000  0.5000  0.6401  4 P 2.63

***

Record 4
Crystalline K3ZrP at its relaxed geometry. Source: Alexandria, functional GGA-PBE.

Results
Volume: 57.94 Å³/atom
Relative energy among the computed polymorphs: 544 meV/atom
Total energy: -10.16 eV/f.u.
ΔE_f: 1.42 eV/atom

Cell: 6.6168 6.6168 6.6168 Å, 90.00 90.00 90.00°
Last column: nearest neighbours and their distance in Å.
Positions (direct):
K  0.5000  0.0000  0.0000  2 Zr 3.31
K  0.0000  0.5000  0.0000  2 Zr 3.31
K  0.0000  0.0000  0.5000  2 Zr 3.31
P  0.5000  0.5000  0.5000  12 K 4.68
Zr  0.0000  0.0000  0.0000  6 K 3.31

***

Record 5
Crystalline K2ZrP at its relaxed geometry. Source: Alexandria, functional GGA-PBE.

Results
Volume: 26.23 Å³/atom
Total energy: -13.86 eV/f.u.
ΔE_f: 0.57 eV/atom

Cell: 5.2929 5.2929 5.2929 Å, 119.94 119.94 90.10°
Last column: nearest neighbours and their distance in Å.
Positions (direct):
K  0.2500  0.7500  0.5000  4 P 3.24, 4 K 3.24
K  0.0000  0.0000  0.0000  4 Zr 3.24, 4 K 3.24
Zr  0.7500  0.2500  0.5000  4 K 3.24, 4 P 3.24
P  0.5000  0.5000  0.0000  4 Zr 3.24, 4 K 3.24

***

Record 6
Crystalline KZrP at its relaxed geometry. Source: Alexandria, functional GGA-PBE.

Results
Volume: 30.09 Å³/atom
Total energy: -16.22 eV/f.u.
ΔE_f: -0.39 eV/atom

Cell: 7.1771 7.1772 3.6729 Å, 75.17 75.18 29.65°
Last column: nearest neighbours and their distance in Å.
Positions (direct):
Zr  0.7381  0.7381  0.2619  4 P 2.61
P  0.2554  0.2554  0.7446  4 Zr 2.61
K  0.0066  0.0066  0.9934  1 P 3.33, 1 Zr 3.59, 4 K 3.67